A relaxed structure of KGa2Cu2. Source: the Alexandria database, functional PBE-GGA.

Structure (POSCAR):
```
KGa2Cu2
1.0
-2.661 2.617 2.563
-3.638 -1.521 -2.224
-3.624 -3.217 3.521
K Cu Ga
1 2 2
direct
0.000 0.000 0.000
0.250 0.750 0.500
0.750 0.250 0.500
0.647 0.647 0.706
0.353 0.353 0.294
```

## Properties
Energy above the lowest structure with this stoichiometry: 0 meV/atom
D(E_F): 0.254 states/eV per atom
Energy of formation from the pure elements: 7 kJ/mol of formula units
DFT total energy: -3.054 eV per atom

***

A relaxed structure of AcTlSbPd. Source: the Alexandria database, functional PBE-GGA.

Structure (POSCAR):
```
AcTlSbPd
1.0
5.341 0.000 0.000
2.671 4.626 0.000
2.671 1.542 4.361
Pd Sb Tl Ac
1 1 1 1
direct
0.500 0.500 0.500
0.750 0.750 0.750
0.000 0.000 0.000
0.250 0.250 0.250
```

## Properties
D(E_F): 0.335 states/eV per atom
DFT total energy: -4.382 eV per atom

***

A relaxed structure of La3SbAsCl. Source: the Alexandria database, functional PBE-GGA.

Structure (POSCAR):
```
La3SbAsCl
1.0
-3.142 2.753 1.621
-6.300 -5.417 -3.010
1.735 -3.372 9.087
La As Cl Sb
6 2 2 2
direct
0.750 0.268 0.511
0.750 0.894 0.131
0.750 0.425 0.153
0.250 0.575 0.847
0.250 0.732 0.489
0.250 0.106 0.869
0.250 0.662 0.160
0.750 0.338 0.840
0.250 0.097 0.581
0.750 0.903 0.419
0.250 0.183 0.226
0.750 0.817 0.774
```

## Properties
D(E_F): 0.614 states/eV per atom
DFT total energy: -5.630 eV per atom

***

A relaxed structure of Sm2Dy6Tm3Pb. Source: the Alexandria database, functional PBE-GGA.

Structure (POSCAR):
```
Sm2Dy6Tm3Pb
1.0
6.075 -0.002 0.012
-3.038 5.261 0.012
-1.037 -1.796 11.521
Dy Sm Tm Pb
6 2 3 1
direct
0.244 0.244 0.747
0.083 0.411 0.252
0.589 0.917 0.748
0.411 0.083 0.252
0.756 0.756 0.253
0.917 0.589 0.748
0.334 0.666 0.000
0.666 0.334 0.000
0.833 0.167 0.500
0.500 0.500 0.500
0.167 0.833 0.500
0.000 0.000 0.000
```

## Properties
D(E_F): 1.160 states/eV per atom
Energy of formation from the pure elements: -68 kJ/mol of formula units
DFT total energy: -4.573 eV per atom